Record 1
DFT (GGA-PBE) results for crystalline Ac2CdP3Pd12 at its relaxed geometry.

Computed properties:
Energy relative to the elements (eV/atom): -0.43
Final energy (Ry per atom): -0.3894

Cell lengths 8.6242, 8.6242, 16.9168 Å; angles 90.00, 90.00, 120.00 degrees
Space group R-3m (No. 166, hexagonal axes)
Asymmetric unit:
Ac 0.0000 0.0000 0.1083 (multiplicity 6)
Cd 0.0000 0.0000 0.5000 (multiplicity 3)
P 0.0000 0.5000 0.0000 (multiplicity 9)
Pd 0.0155 0.5077 0.8667 (multiplicity 18)
Pd 0.0536 0.5268 0.3191 (multiplicity 18)


Record 2
DFT (GGA-PBE) results for crystalline NaV2SiN at its relaxed geometry.

Computed properties:
Raw formation energy (eV/f.u.): 15.07
Final energy (Ry per atom): -0.2680

Cell lengths 4.4208, 4.4208, 4.4633 Å; angles 90.00, 90.00, 90.00 degrees
Space group P4/mmm (No. 123)
Asymmetric unit:
Na 0.0000 0.0000 0.0000 (multiplicity 1)
V 0.0000 0.5000 0.0000 (multiplicity 2)
Si 0.0000 0.0000 0.5000 (multiplicity 1)
N 0.5000 0.5000 0.5000 (multiplicity 1)


Record 3
DFT (GGA-PBE) results for crystalline Na8Hg2Pb at its relaxed geometry.

Computed properties:
ΔE to the lowest computed polymorph (eV/atom): 0.0048
Energy relative to the elements (eV/atom): -0.14
Final energy (Ry per atom): -0.1096

Cell lengths 5.5537, 7.1864, 9.5821 Å; angles 111.77, 106.82, 90.20 degrees
Space group P1 (No. 1)
Asymmetric unit:
Na 0.0000 0.0000 0.0000 (multiplicity 1)
Na 0.0233 0.5334 0.0455 (multiplicity 1)
Na 0.2228 0.0430 0.4508 (multiplicity 1)
Na 0.3245 0.7729 0.6621 (multiplicity 1)
Na 0.4319 0.2546 0.8665 (multiplicity 1)
Na 0.6373 0.1501 0.2745 (multiplicity 1)
Na 0.6615 0.6613 0.3213 (multiplicity 1)
Na 0.8190 0.4997 0.6589 (multiplicity 1)
Hg 0.1688 0.4070 0.3362 (multiplicity 1)
Hg 0.4958 0.7326 0.9877 (multiplicity 1)
Pb 0.8265 0.0425 0.6599 (multiplicity 1)


Record 4
DFT (GGA-PBE) results for crystalline Sm2Y8Er3 at its relaxed geometry.

Computed properties:
Energy relative to the elements (eV/atom): 0.24
Final energy (Ry per atom): -0.4054

Cell lengths 20.5477, 7.6007, 5.6037 Å; angles 90.00, 90.04, 90.00 degrees
Space group C2/m (No. 12)
Asymmetric unit:
Sm 0.2412 0.0000 0.4988 (multiplicity 4)
Y 0.1061 0.2871 0.5002 (multiplicity 8)
Y 0.1314 0.0000 0.9995 (multiplicity 4)
Y 0.1655 0.5000 0.0008 (multiplicity 4)
Er 0.0000 0.0000 0.5000 (multiplicity 2)
Er 0.0000 0.2832 0.0000 (multiplicity 4)


Record 5
DFT (GGA-PBE) results for crystalline Ce2MgRh at its relaxed geometry.

Computed properties:
ΔE to the lowest computed polymorph (eV/atom): 0.1136
Energy relative to the elements (eV/atom): -0.22
Final energy (Ry per atom): -0.3986

Cell lengths 3.8649, 3.8649, 26.2404 Å; angles 90.00, 90.00, 120.00 degrees
Space group R3m (No. 160, hexagonal axes)
Asymmetric unit:
Ce 0.0000 0.0000 0.0000 (multiplicity 3)
Ce 0.0000 0.0000 0.2050 (multiplicity 3)
Mg 0.0000 0.0000 0.7697 (multiplicity 3)
Rh 0.0000 0.0000 0.6016 (multiplicity 3)


Record 6
DFT (GGA-PBE) results for crystalline Ce2BeOs at its relaxed geometry.

Computed properties:
Energy relative to the elements (eV/atom): 0.65
Final energy (Ry per atom): -0.4450

Cell lengths 2.9177, 2.9177, 32.4649 Å; angles 90.00, 90.00, 120.00 degrees
Space group R-3m (No. 166, hexagonal axes)
Asymmetric unit:
Ce 0.0000 0.0000 0.0916 (multiplicity 6)
Be 0.0000 0.0000 0.0000 (multiplicity 3)
Os 0.0000 0.0000 0.5000 (multiplicity 3)


Record 7
DFT (GGA-PBE) results for crystalline LaCuSb2 at its relaxed geometry.

Computed properties:
Raw formation energy (eV/f.u.): -1.51
Final energy (Ry per atom): -0.3451

Cell lengths 4.4300, 4.4472, 10.2835 Å; angles 90.00, 90.00, 90.00 degrees
Space group Immm (No. 71)
Asymmetric unit:
La 0.0000 0.0000 0.0000 (multiplicity 2)
Cu 0.0000 0.0000 0.5000 (multiplicity 2)
Sb 0.0000 0.5000 0.2497 (multiplicity 4)


Record 8
DFT (GGA-PBE) results for crystalline YMg2Cu4 at its relaxed geometry.

Computed properties:
ΔE to the lowest computed polymorph (eV/atom): 0.2128
Energy relative to the elements (eV/atom): 0.03
Final energy (Ry per atom): -0.2712

Cell lengths 4.3969, 4.3969, 21.8844 Å; angles 90.00, 90.00, 120.00 degrees
Space group R-3m (No. 166, hexagonal axes)
Asymmetric unit:
Y 0.0000 0.0000 0.0000 (multiplicity 3)
Mg 0.0000 0.0000 0.2487 (multiplicity 6)
Cu 0.0000 0.0000 0.1331 (multiplicity 6)
Cu 0.0000 0.0000 0.4395 (multiplicity 6)